# 1
NdEu2Si | PBE | relaxed

a b c (Å): 11.588 11.588 11.588
angles (deg): 18.20 18.20 18.20
Sites, in units of the cell vectors:
1 Nd 0.000 0.000 0.000
2 Eu 0.104 0.104 0.104
3 Eu 0.896 0.896 0.896
4 Si 0.500 0.500 0.500

## Properties
* formation energy without anion corrections: 0.0708 eV/atom
* N(E_F): 3.1 states/eV/f.u.
* DFT total energy: -7.614 eV per atom


# 2
NdEuZnSi | PBE | relaxed

a b c (Å): 5.184 5.184 5.184
angles (deg): 60.00 60.00 60.00
Sites, in units of the cell vectors:
1 Nd 0.000 0.000 0.000
2 Eu 0.500 0.500 0.500
3 Zn 0.750 0.750 0.750
4 Si 0.250 0.250 0.250

## Properties
* formation energy without anion corrections: -0.3825 eV/atom
* N(E_F): 2.8 states/eV/f.u.
* DFT total energy: -5.817 eV per atom


# 3
NdSmEu | PBE | relaxed

a b c (Å): 3.714 3.714 9.132
angles (deg): 90.00 90.00 120.00
Sites, in units of the cell vectors:
1 Nd 0.000 0.000 0.000
2 Sm 0.667 0.333 0.314
3 Eu 0.333 0.667 0.655

## Properties
* distance to the lowest polymorph of the same formula: 2.9 meV/atom
* N(E_F): 3.4 states/eV/f.u.
* DFT total energy: -6.553 eV per atom
* energy of formation from the pure elements: 3.3 kJ/mol of atoms


# 4
Nd2SmEu | PBE | relaxed

a b c (Å): 5.229 5.229 5.233
angles (deg): 90.00 90.00 90.00
Sites, in units of the cell vectors:
1 Nd 0.000 0.500 0.000
2 Nd 0.500 0.000 0.000
3 Sm 0.000 0.000 0.500
4 Eu 0.500 0.500 0.500

## Properties
* distance to the lowest polymorph of the same formula: 0.0 meV/atom
* N(E_F): 6.1 states/eV/f.u.
* DFT total energy: -6.069 eV per atom
* energy of formation from the pure elements: 6.1 kJ/mol of atoms